[1]
VASP calculation (GGA-PBE) on MgGa2Mo after structural relaxation.

Summary:
Crystal system ... tetragonal
SG ... P4/mmm (123)
DFT formation energy ... -18 kJ/mol of formula units

Cell lengths 3.3754, 3.3754, 5.7854 Å; angles 90.00, 90.00, 90.00 degrees
Positions (direct):
Ga  0.0000  0.0000  0.7268
Ga  0.0000  0.0000  0.2732
Mo  0.5000  0.5000  0.5000
Mg  0.5000  0.5000  0.0000

[2]
VASP calculation (GGA-PBE) on MgGa2Mo after structural relaxation.

Summary:
Crystal system ... tetragonal
SG ... I-42d (122)
DFT formation energy ... 133 kJ/mol of formula units

Cell lengths 7.1043, 7.1043, 5.7616 Å; angles 51.94, 51.94, 90.00 degrees
Positions (direct):
Mo  0.7500  0.2500  0.5000
Mo  0.0000  0.0000  0.0000
Mg  0.5000  0.5000  0.0000
Mg  0.2500  0.7500  0.5000
Ga  0.1178  0.6250  0.2500
Ga  0.8750  0.8822  0.7500
Ga  0.6322  0.1250  0.2500
Ga  0.3750  0.3678  0.7500

[3]
VASP calculation (GGA-PBE) on MgGa2Mo after structural relaxation.

Summary:
Crystal system ... trigonal
SG ... R3m (160)
DFT formation energy ... 84 kJ/mol of formula units

Cell lengths 4.0782, 4.0782, 5.7876 Å; angles 69.37, 69.37, 60.00 degrees
Positions (direct):
Mg  0.4893  0.4893  0.5322
Ga  0.0719  0.0719  0.7844
Ga  0.2638  0.2638  0.2085
Mo  0.6750  0.6750  0.9749

[4]
VASP calculation (GGA-PBE) on MgGaMo3 after structural relaxation.

Summary:
Crystal system ... cubic
SG ... Pm-3m (221)
ΔE to the lowest computed polymorph ... 0.000 eV/atom
DFT formation energy ... 664 kJ/mol of formula units

Cell lengths 4.6454, 4.6454, 4.6454 Å; angles 90.00, 90.00, 90.00 degrees
Positions (direct):
Ga  0.0000  0.0000  0.0000
Mo  0.5000  0.0000  0.0000
Mo  0.0000  0.0000  0.5000
Mo  0.0000  0.5000  0.0000
Mg  0.5000  0.5000  0.5000

[5]
VASP calculation (GGA-PBE) on MgGa2Mo2 after structural relaxation.

Summary:
Crystal system ... tetragonal
SG ... I4/mmm (139)
ΔE to the lowest computed polymorph ... 0.323 eV/atom
DFT formation energy ... 180 kJ/mol of formula units

Cell lengths 3.8036, 3.8036, 6.7271 Å; angles 73.58, 73.58, 90.00 degrees
Positions (direct):
Ga  0.7500  0.2500  0.5000
Ga  0.2500  0.7500  0.5000
Mo  0.5960  0.5960  0.8081
Mo  0.4040  0.4040  0.1919
Mg  0.0000  0.0000  0.0000

[6]
VASP calculation (GGA-PBE) on MgGa2Mo2 after structural relaxation.

Summary:
Crystal system ... tetragonal
SG ... P4/mbm (127)
ΔE to the lowest computed polymorph ... 0.059 eV/atom
DFT formation energy ... 53 kJ/mol of formula units

Cell lengths 7.3649, 7.3649, 3.2027 Å; angles 90.00, 90.00, 90.00 degrees
Positions (direct):
Mg  0.0000  0.0000  0.0000
Mg  0.5000  0.5000  0.0000
Ga  0.3223  0.1777  0.5000
Ga  0.1777  0.6777  0.5000
Ga  0.6777  0.8223  0.5000
Ga  0.8223  0.3223  0.5000
Mo  0.6149  0.1149  0.0000
Mo  0.8851  0.6149  0.0000
Mo  0.1149  0.3851  0.0000
Mo  0.3851  0.8851  0.0000

[7]
VASP calculation (GGA-PBE) on MgGa2Mo2 after structural relaxation.

Summary:
Crystal system ... tetragonal
SG ... P4/mbm (127)
ΔE to the lowest computed polymorph ... 0.000 eV/atom
DFT formation energy ... 25 kJ/mol of formula units

Cell lengths 6.8424, 6.8424, 3.4425 Å; angles 90.00, 90.00, 90.00 degrees
Positions (direct):
Mo  0.6647  0.8353  0.5000
Mo  0.1647  0.6647  0.5000
Mo  0.8353  0.3353  0.5000
Mo  0.3353  0.1647  0.5000
Ga  0.3682  0.8682  0.0000
Ga  0.1318  0.3682  0.0000
Ga  0.6318  0.1318  0.0000
Ga  0.8682  0.6318  0.0000
Mg  0.0000  0.0000  0.0000
Mg  0.5000  0.5000  0.0000

[8]
VASP calculation (GGA-PBE) on MgGa6Mo after structural relaxation.

Summary:
Crystal system ... monoclinic
SG ... C2/m (12)
DFT formation energy ... 94 kJ/mol of formula units

Cell lengths 5.6502, 5.6502, 5.7583 Å; angles 72.69, 72.69, 108.26 degrees
Positions (direct):
Ga  0.7976  0.2687  0.7353
Ga  0.7372  0.7372  0.7893
Ga  0.2628  0.2628  0.2107
Ga  0.2024  0.7313  0.2647
Ga  0.2687  0.7976  0.7353
Ga  0.7313  0.2024  0.2647
Mg  0.5000  0.5000  0.5000
Mo  0.0000  0.0000  0.0000

[9]
VASP calculation (GGA-PBE) on Mg3GaMo after structural relaxation.

Summary:
Crystal system ... cubic
SG ... Pm-3m (221)
ΔE to the lowest computed polymorph ... 0.149 eV/atom
DFT formation energy ... 511 kJ/mol of formula units

Cell lengths 5.2533, 5.2533, 5.2533 Å; angles 90.00, 90.00, 90.00 degrees
Positions (direct):
Mg  0.0000  0.5000  0.0000
Mg  0.5000  0.0000  0.0000
Mg  0.0000  0.0000  0.5000
Mo  0.0000  0.0000  0.0000
Ga  0.5000  0.5000  0.5000

[10]
VASP calculation (GGA-PBE) on Mg6GaMo after structural relaxation.

Summary:
Crystal system ... orthorhombic
SG ... Amm2 (38)
ΔE to the lowest computed polymorph ... 0.005 eV/atom
DFT formation energy ... 109 kJ/mol of formula units

Cell lengths 6.1292, 6.1292, 4.9450 Å; angles 90.00, 90.00, 122.64 degrees
Positions (direct):
Mg  0.1569  0.3235  0.0000
Mg  0.1757  0.8243  0.0000
Mg  0.6771  0.3229  0.0000
Mg  0.8272  0.6709  0.5000
Mg  0.6765  0.8431  0.0000
Mg  0.3291  0.1728  0.5000
Ga  0.3307  0.6693  0.5000
Mo  0.8268  0.1732  0.5000

[11]
VASP calculation (GGA-PBE) on Mg3GaMo after structural relaxation.

Summary:
Crystal system ... cubic
SG ... Pm-3m (221)
ΔE to the lowest computed polymorph ... 0.000 eV/atom
DFT formation energy ... 440 kJ/mol of formula units

Cell lengths 4.9894, 4.9894, 4.9894 Å; angles 90.00, 90.00, 90.00 degrees
Positions (direct):
Mg  0.0000  0.0000  0.5000
Mg  0.0000  0.5000  0.0000
Mg  0.5000  0.0000  0.0000
Mo  0.5000  0.5000  0.5000
Ga  0.0000  0.0000  0.0000